# MgHg3As

MgHg3As after structural relaxation (PBE, the Alexandria database).

POSCAR file:
```
MgHg3As
1.0
5.373 0.000 0.000
0.000 5.373 0.000
0.000 0.000 5.373
Mg Hg As
1 3 1
direct
0.000 0.000 0.000 Mg
0.000 0.000 0.500 Hg
0.000 0.500 0.000 Hg
0.500 0.000 0.000 Hg
0.500 0.500 0.500 As
```

- Crystal system: cubic
- ΔH_f (0 K): 497 meV/atom
- Magnetic moment: 1.51 Bohr magnetons per cell

# SbPdW2

SbPdW2 after structural relaxation (PBE, the Alexandria database).

POSCAR file:
```
SbPdW2
1.0
-2.999 2.999 5.704
2.999 -2.999 5.704
2.999 2.999 -5.704
Sb Pd W
2 2 4
direct
0.000 0.000 0.000 Sb
0.750 0.250 0.500 Sb
0.250 0.750 0.500 Pd
0.500 0.500 0.000 Pd
0.161 0.625 0.036 W
0.375 0.411 0.536 W
0.589 0.125 0.964 W
0.875 0.839 0.464 W
```

- Crystal system: tetragonal
- Uncorrected formation energy: 1.6559 eV/atom
- Magnetic moment: 0.00 Bohr magnetons per cell

# LaTi2Pt2

LaTi2Pt2 after structural relaxation (PBE, the Alexandria database).

POSCAR file:
```
LaTi2Pt2
1.0
7.915 0.000 0.000
0.000 7.915 0.000
0.000 0.000 2.933
La Ti Pt
2 4 4
direct
0.000 0.000 0.000 La
0.500 0.500 0.000 La
0.155 0.345 0.000 Ti
0.345 0.845 0.000 Ti
0.655 0.155 0.000 Ti
0.845 0.655 0.000 Ti
0.138 0.638 0.500 Pt
0.362 0.138 0.500 Pt
0.638 0.862 0.500 Pt
0.862 0.362 0.500 Pt
```

- Crystal system: tetragonal
- ΔH_f (0 K): -686 meV/atom
- Magnetic moment: 0.00 Bohr magnetons per cell

# Ag2Hg3Pd3

Ag2Hg3Pd3 after structural relaxation (PBE, the Alexandria database).

POSCAR file:
```
Ag2Hg3Pd3
1.0
-1.830 2.207 8.957
1.830 -2.207 8.957
1.830 2.207 -8.957
Ag Hg Pd
2 3 3
direct
0.248 0.248 0.000 Ag
0.752 0.752 0.000 Ag
0.000 0.000 0.000 Hg
0.373 0.873 0.500 Hg
0.627 0.127 0.500 Hg
0.122 0.622 0.500 Pd
0.500 0.500 0.000 Pd
0.878 0.378 0.500 Pd
```

- Crystal system: orthorhombic
- ΔH_f (0 K): -98 meV/atom
- Magnetic moment: 0.00 Bohr magnetons per cell

Copy entry 2 word for word.
# SbPdW2

SbPdW2 after structural relaxation (PBE, the Alexandria database).

POSCAR file:
```
SbPdW2
1.0
-2.999 2.999 5.704
2.999 -2.999 5.704
2.999 2.999 -5.704
Sb Pd W
2 2 4
direct
0.000 0.000 0.000 Sb
0.750 0.250 0.500 Sb
0.250 0.750 0.500 Pd
0.500 0.500 0.000 Pd
0.161 0.625 0.036 W
0.375 0.411 0.536 W
0.589 0.125 0.964 W
0.875 0.839 0.464 W
```

- Crystal system: tetragonal
- Uncorrected formation energy: 1.6559 eV/atom
- Magnetic moment: 0.00 Bohr magnetons per cell

- magnetic moment of number 2 (SbPdW2)?
  0.00 Bohr magnetons per cell